# 1
Material: MgZr2Rh
Method: DFT, GGA-PBE
State: optimized geometry

Cell lengths 7.4413, 4.5564, 3.7271 Å; angles 90.03, 59.90, 127.70 degrees
Closest atoms and distances in Å follow each position.
Sites, in units of the cell vectors:
Rh 0.5000 0.5000 0.0000  8 Zr 2.94, 4 Mg 3.22
Mg 0.0000 0.5000 0.5000  8 Zr 2.94, 4 Rh 3.22
Zr 0.0000 0.0000 0.0000  4 Rh 2.94, 4 Mg 2.94, 4 Zr 3.22
Zr 0.5000 0.0000 0.5000  4 Mg 2.94, 4 Rh 2.94, 4 Zr 3.22

ΔH_f (0 K) in eV/atom: -0.281
Symmetry: No. 65
E above lowest polymorph in eV per atom: 0.125
Fermi-level density of states in states/eV/cell: 3.58

# 2
Material: AlSbSe2
Method: DFT, GGA-PBE
State: optimized geometry

Cell lengths 4.9650, 4.9650, 4.9650 Å; angles 60.00, 60.00, 60.00 degrees
Closest atoms and distances in Å follow each position.
Sites, in units of the cell vectors:
Se 0.0000 0.0000 0.0000  4 Se 3.04, 4 Sb 3.04
Sb 0.7500 0.7500 0.7500  4 Al 3.04, 4 Se 3.04
Se 0.2500 0.2500 0.2500  4 Se 3.04, 4 Al 3.04
Al 0.5000 0.5000 0.5000  4 Se 3.04, 4 Sb 3.04

Symmetry: No. 216
E above lowest polymorph in eV per atom: 0.778
Fermi-level density of states in states/eV/cell: 2.31

# 3
Material: PaAlBi2
Method: DFT, GGA-PBE
State: optimized geometry

Cell lengths 4.0834, 4.0834, 6.4878 Å; angles 90.00, 90.00, 90.00 degrees
Closest atoms and distances in Å follow each position.
Sites, in units of the cell vectors:
Pa 0.5000 0.5000 0.5000  2 Al 3.24, 8 Bi 3.31
Bi 0.0000 0.0000 0.2507  2 Bi 3.24-3.25, 4 Pa 3.31, 4 Al 3.31
Al 0.5000 0.5000 0.0000  2 Pa 3.24, 8 Bi 3.31
Bi 0.0000 0.0000 0.7493  2 Bi 3.24-3.25, 4 Pa 3.31, 4 Al 3.31

ΔH_f (0 K) in eV/atom: -0.029
Symmetry: No. 123
E above lowest polymorph in eV per atom: 0.064
Fermi-level density of states in states/eV/cell: 4.92